1.
# KCoHg2 PBE relaxed
# **Volume**: 25.32 Å³/atom
# **Excess energy over the best structure of this formula in the dataset**: 321 meV per atom
# **Energy of formation from the pure elements**: 0.582 eV per atom
# **E**: -6.48 eV per cell
data_KCoHg2
_cell_length_a 5.232
_cell_length_b 5.232
_cell_length_c 5.232
_cell_angle_alpha 60.00
_cell_angle_beta 60.00
_cell_angle_gamma 60.00
_space_group_name_H-M_alt 'P 1'
_space_group_IT_number 1
loop_
_space_group_symop_operation_xyz
'x,y,z'
loop_
_atom_site_label
_atom_site_fract_x
_atom_site_fract_y
_atom_site_fract_z
Hg1 0.000 0.000 0.000
Co1 0.500 0.500 0.500
Hg2 0.250 0.250 0.250
K1 0.750 0.750 0.750

2.
# KCoHg2 PBE relaxed
# **Volume**: 24.04 Å³/atom
# **Excess energy over the best structure of this formula in the dataset**: 300 meV per atom
# **Energy of formation from the pure elements**: 0.561 eV per atom
# **E**: -6.56 eV per cell
data_KCoHg2
_cell_length_a 10.632
_cell_length_b 10.632
_cell_length_c 10.632
_cell_angle_alpha 17.62
_cell_angle_beta 17.62
_cell_angle_gamma 17.62
_space_group_name_H-M_alt 'P 1'
_space_group_IT_number 1
loop_
_space_group_symop_operation_xyz
'x,y,z'
loop_
_atom_site_label
_atom_site_fract_x
_atom_site_fract_y
_atom_site_fract_z
Hg1 0.255 0.255 0.255
Co1 0.741 0.741 0.741
K1 0.494 0.494 0.494
Hg2 0.011 0.011 0.011

3.
# KCoHg2 PBE relaxed
# **Volume**: 24.10 Å³/atom
# **Excess energy over the best structure of this formula in the dataset**: 298 meV per atom
# **Energy of formation from the pure elements**: 0.559 eV per atom
# **E**: -6.57 eV per cell
data_KCoHg2
_cell_length_a 3.116
_cell_length_b 6.404
_cell_length_c 6.251
_cell_angle_alpha 50.61
_cell_angle_beta 90.00
_cell_angle_gamma 90.00
_space_group_name_H-M_alt 'P 1'
_space_group_IT_number 1
loop_
_space_group_symop_operation_xyz
'x,y,z'
loop_
_atom_site_label
_atom_site_fract_x
_atom_site_fract_y
_atom_site_fract_z
Hg1 0.000 0.000 0.000
Hg2 0.500 0.500 0.000
Co1 0.000 0.000 0.500
K1 0.500 0.500 0.500

4.
# KCoHg2 PBE relaxed
# **Volume**: 35.02 Å³/atom
# **Excess energy over the best structure of this formula in the dataset**: 103 meV per atom
# **Energy of formation from the pure elements**: 0.364 eV per atom
# **E**: -14.70 eV per cell
data_KCoHg2
_cell_length_a 5.827
_cell_length_b 5.827
_cell_length_c 9.223
_cell_angle_alpha 71.59
_cell_angle_beta 71.59
_cell_angle_gamma 90.00
_space_group_name_H-M_alt 'P 1'
_space_group_IT_number 1
loop_
_space_group_symop_operation_xyz
'x,y,z'
loop_
_atom_site_label
_atom_site_fract_x
_atom_site_fract_y
_atom_site_fract_z
Hg1 0.943 0.625 0.250
Co1 0.000 0.000 0.000
K1 0.500 0.500 0.000
Hg2 0.875 0.057 0.750
Hg3 0.807 0.125 0.250
Co2 0.750 0.250 0.500
Hg4 0.375 0.193 0.750
K2 0.250 0.750 0.500

5.
# KCoHg2 PBE relaxed
# **Volume**: 26.89 Å³/atom
# **Excess energy over the best structure of this formula in the dataset**: 149 meV per atom
# **Energy of formation from the pure elements**: 0.410 eV per atom
# **E**: -7.17 eV per cell
data_KCoHg2
_cell_length_a 5.652
_cell_length_b 5.652
_cell_length_c 5.652
_cell_angle_alpha 136.11
_cell_angle_beta 117.65
_cell_angle_gamma 79.35
_space_group_name_H-M_alt 'P 1'
_space_group_IT_number 1
loop_
_space_group_symop_operation_xyz
'x,y,z'
loop_
_atom_site_label
_atom_site_fract_x
_atom_site_fract_y
_atom_site_fract_z
K1 0.750 0.250 0.500
Hg1 0.059 0.059 0.000
Co1 0.250 0.750 0.500
Hg2 0.441 0.441 0.000

6.
# KCoHg2 PBE relaxed
# **Volume**: 23.09 Å³/atom
# **Excess energy over the best structure of this formula in the dataset**: 249 meV per atom
# **Energy of formation from the pure elements**: 0.510 eV per atom
# **E**: -6.77 eV per cell
data_KCoHg2
_cell_length_a 5.372
_cell_length_b 8.202
_cell_length_c 3.201
_cell_angle_alpha 66.59
_cell_angle_beta 90.31
_cell_angle_gamma 130.17
_space_group_name_H-M_alt 'P 1'
_space_group_IT_number 1
loop_
_space_group_symop_operation_xyz
'x,y,z'
loop_
_atom_site_label
_atom_site_fract_x
_atom_site_fract_y
_atom_site_fract_z
Hg1 0.000 0.000 0.000
K1 0.500 0.500 0.000
Co1 0.500 0.000 0.500
Hg2 0.000 0.500 0.500